[1]
GGA+U YCoN2F, relaxed; Fermi-level density of states = 2.081 states/eV/cell; E above lowest polymorph = 0.0 meV/atom; space group = P4/mmm (123); M_tot = 0.54 μB per atom
1.0
3.764 0.000 0.000
0.000 3.764 0.000
0.000 0.000 3.970
Y Co N F
1 1 2 1
Direct
0.000 0.000 0.000
0.500 0.500 0.500
0.000 0.500 0.500
0.500 0.000 0.500
0.500 0.500 0.000

---

[2]
GGA+U YCoN2F, relaxed; Fermi-level density of states = 2.710 states/eV/cell; E above lowest polymorph = 1071.4 meV/atom; space group = P4/mmm (123); M_tot = 0.98 μB per atom
1.0
4.480 0.000 0.000
0.000 4.480 0.000
0.000 0.000 4.243
Y Co N F
1 1 2 1
Direct
0.000 0.000 0.000
0.500 0.500 0.500
0.000 0.500 0.000
0.500 0.000 0.000
0.000 0.000 0.500